No. 1
## LaBe2Cu2 (PBE)

Data for a relaxed structure of LaBe2Cu2.

Summary:
energy relative to the lowest polymorph listed for this composition	0.245	eV per atom

Cell lengths 7.343, 7.343, 2.745 Å; angles 90.00, 90.00, 90.00 degrees
Space group P4/mbm (No. 127)
Unique sites:
La (0.000, 0.000, 0.000) x2
Be (0.108, 0.392, 0.000) x4
Cu (0.161, 0.661, 0.500) x4

No. 2
## ZrFe3Bi (PBE)

Data for a relaxed structure of ZrFe3Bi.

Summary:
energy relative to the lowest polymorph listed for this composition	0.000	eV per atom

Cell lengths 4.719, 4.719, 4.719 Å; angles 90.00, 90.00, 90.00 degrees
Space group Pm-3m (No. 221)
Unique sites:
Zr (0.000, 0.000, 0.000) x1
Fe (0.000, 0.000, 0.500) x3
Bi (0.500, 0.500, 0.500) x1